Ca2Zn | the Alexandria database | SCAN | single point on PBEsol structure; total DFT energy (no corrections) = -0.804 Ry/atom; energy relative to the elements = 2 kJ/mol of formula units; M_tot = 0.2 μB per formula unit; space-group type = No. 164
1.0
5.0648 0.0000 0.0000
-2.5324 4.3862 0.0000
0.0000 0.0000 4.0687
Ca Zn
2 1
direct
0.3333 0.6667 0.2366
0.6667 0.3333 0.7634
0.0000 0.0000 0.5000